Record 1
The following is a DFT calculation (GGA-PBE) of a relaxed Tm6MgNi2 crystal.

Properties
crystal system = orthorhombic
final energy = -4.69 eV/atom
E_form = -249 meV/atom
space-group type = Immm (71)

abc: 8.306 8.306 8.306
angles: 112.82 110.35 105.33
Fractional coordinates of all 18 atoms:
Tm 0.033 0.235 0.798
Tm 0.184 0.290 0.474
Tm 0.184 0.710 0.895
Tm 0.320 0.013 0.692
Tm 0.320 0.628 0.308
Tm 0.437 0.235 0.202
Tm 0.563 0.765 0.798
Tm 0.680 0.372 0.692
Tm 0.680 0.987 0.308
Tm 0.816 0.290 0.105
Tm 0.816 0.710 0.526
Tm 0.967 0.765 0.202
Mg 0.000 0.000 0.000
Mg 0.500 0.500 0.000
Ni 0.121 0.621 0.500
Ni 0.345 0.000 0.345
Ni 0.655 0.000 0.655
Ni 0.879 0.379 0.500


Record 2
The following is a DFT calculation (GGA-PBE) of a relaxed Tm5Mg2Ni2 crystal.

Properties
crystal system = orthorhombic
final energy = -4.32 eV/atom
E_form = -199 meV/atom
space-group type = Cmce (64)

abc: 9.340 9.340 7.088
angles: 90.00 90.00 45.88
Fractional coordinates of all 18 atoms:
Tm 0.000 0.000 0.000
Tm 0.071 0.708 0.675
Tm 0.208 0.571 0.175
Tm 0.292 0.929 0.675
Tm 0.429 0.792 0.175
Tm 0.500 0.500 0.500
Tm 0.571 0.208 0.825
Tm 0.708 0.071 0.325
Tm 0.792 0.429 0.825
Tm 0.929 0.292 0.325
Mg 0.229 0.229 0.000
Mg 0.271 0.271 0.500
Mg 0.729 0.729 0.500
Mg 0.771 0.771 0.000
Ni 0.124 0.876 0.380
Ni 0.376 0.624 0.880
Ni 0.624 0.376 0.120
Ni 0.876 0.124 0.620


Record 3
The following is a DFT calculation (GGA-PBE) of a relaxed Tm3Mg5Ni2 crystal.

Properties
crystal system = orthorhombic
final energy = -3.39 eV/atom
E_form = -99 meV/atom
space-group type = Ibam (72)

abc: 9.335 9.335 9.335
angles: 112.10 80.12 142.69
Fractional coordinates of all 20 atoms:
Tm 0.171 0.206 0.377
Tm 0.250 0.250 0.000
Tm 0.329 0.706 0.035
Tm 0.671 0.294 0.965
Tm 0.750 0.750 0.000
Tm 0.829 0.794 0.623
Mg 0.052 0.750 0.302
Mg 0.072 0.726 0.798
Mg 0.250 0.750 0.500
Mg 0.428 0.226 0.654
Mg 0.448 0.750 0.698
Mg 0.552 0.250 0.302
Mg 0.572 0.774 0.346
Mg 0.750 0.250 0.500
Mg 0.928 0.274 0.202
Mg 0.948 0.250 0.698
Ni 0.160 0.940 0.100
Ni 0.340 0.440 0.780
Ni 0.660 0.560 0.220
Ni 0.840 0.060 0.900